Record 1
Ca2TeS: optimized geometry, PBE.

Output
polymorph energy (0 for the lowest one)	168.8	meV/atom

a b c (Å): 4.4922 4.4956 7.4770
angles (deg): 88.78 89.29 60.15
Positions (direct):
Ca (0.2566, 0.6304, 0.6363)
Ca (0.5911, 0.9794, 0.1353)
Te (0.9237, 0.3029, 0.4229)
S (0.2581, 0.6509, 0.9884)

=====

Record 2
CaTeS2: optimized geometry, PBE.

a b c (Å): 8.2038 8.2038 8.2038
angles (deg): 30.73 30.73 30.73
Positions (direct):
Ca (0.0000, 0.0000, 0.0000)
Te (0.5000, 0.5000, 0.5000)
S (0.8851, 0.8851, 0.8851)
S (0.1149, 0.1149, 0.1149)

=====

Record 3
CaTe2S: optimized geometry, PBE.

a b c (Å): 8.2215 8.2215 8.2215
angles (deg): 35.43 35.43 35.43
Positions (direct):
Ca (0.5000, 0.5000, 0.5000)
Te (0.8911, 0.8911, 0.8911)
Te (0.1089, 0.1089, 0.1089)
S (0.0000, 0.0000, 0.0000)

=====

| no. | formation energy without anion corrections (eV/atom) |
| --- | --- |
| 1 | -1.686 |
| 2 | -0.162 |
| 3 | -0.326 |